This record from Alexandria via LeMat-Bulk describes CrOsCl after structural relaxation. The functional is PBEsol.

Summary:
Raw total energy: -7.40 eV/atom
Raw formation energy: 0.753 eV per atom

abc: 2.818 3.980 3.980
angles: 120.00 90.00 90.00
Positions (direct):
1 Cl 0.945 0.000 0.000
2 Os 0.271 0.667 0.333
3 Cr 0.785 0.333 0.667



This record from Alexandria via LeMat-Bulk describes BaZrNi after structural relaxation. The functional is PBEsol.

Summary:
Raw total energy: -4.48 eV/atom
Formation energy from the elements: 1315 meV/atom

abc: 4.637 4.637 4.637
angles: 60.00 60.00 60.00
Positions (direct):
1 Ba 0.250 0.250 0.250
2 Zr 0.500 0.500 0.500
3 Ni 0.000 0.000 0.000



This record from Alexandria via LeMat-Bulk describes Tl2HgGeTe4 after structural relaxation. The functional is PBEsol.

Summary:
Raw total energy: -3.27 eV/atom
Raw formation energy: -0.163 eV per atom

abc: 6.832 6.832 6.832
angles: 105.26 105.26 118.27
Positions (direct):
1 Te 0.406 0.406 0.360
2 Te 0.594 0.954 0.000
3 Te 0.954 0.594 0.000
4 Te 0.046 0.046 0.640
5 Hg 0.500 0.500 0.000
6 Ge 0.000 0.000 0.000
7 Tl 0.000 0.500 0.500
8 Tl 0.500 0.000 0.500



This record from Alexandria via LeMat-Bulk describes K3Ta2Ag3S8 after structural relaxation. The functional is PBEsol.

Summary:
Raw total energy: -5.49 eV/atom
Raw formation energy: -0.892 eV per atom

abc: 5.863 12.487 13.486
angles: 63.59 77.45 76.42
Positions (direct):
1 S 0.488 0.443 0.652
2 S 0.197 0.193 0.613
3 S 0.417 0.943 0.152
4 S 0.803 0.807 0.387
5 S 0.687 0.470 0.104
6 S 0.003 0.307 0.887
7 S 0.925 0.638 0.680
8 S 0.261 0.030 0.396
9 S 0.313 0.530 0.896
10 S 0.243 0.862 0.820
11 S 0.583 0.057 0.848
12 S 0.997 0.693 0.113
13 S 0.757 0.138 0.180
14 S 0.075 0.362 0.320
15 S 0.512 0.557 0.348
16 S 0.739 0.970 0.604
17 Ag 0.941 0.031 0.711
18 Ag 0.683 0.469 0.789
19 Ag 0.684 0.750 0.250
20 Ag 0.059 0.969 0.289
21 Ag 0.316 0.250 0.750
22 Ag 0.317 0.531 0.211
23 K 0.791 0.714 0.892
24 K 0.396 0.786 0.608
25 K 0.604 0.214 0.392
26 K 0.000 0.500 0.500
27 K 0.209 0.286 0.108
28 K 0.000 0.000 0.000
29 Ta 0.440 0.023 0.720
30 Ta 0.183 0.477 0.780
31 Ta 0.560 0.977 0.280
32 Ta 0.817 0.523 0.220



This record from Alexandria via LeMat-Bulk describes Na2SnWBr after structural relaxation. The functional is PBEsol.

Summary:
Raw total energy: -3.37 eV/atom
Raw formation energy: 1.173 eV per atom

abc: 4.628 5.895 5.895
angles: 90.00 90.00 90.00
Site moments in Bohr magnetons follow the coordinates.
Positions (direct):
1 W 0.000 0.000 0.000  1.32
2 Na 0.000 0.500 0.000  0.01
3 Na 0.000 0.000 0.500  0.01
4 Sn 0.500 0.500 0.500  -0.42
5 Br 0.500 0.000 0.000  -0.05



This record from Alexandria via LeMat-Bulk describes LiLa4AlO8 after structural relaxation. The functional is PBEsol.

Summary:
Raw total energy: -8.21 eV/atom
Raw formation energy: -3.249 eV per atom

abc: 5.302 5.318 6.814
angles: 90.00 112.90 90.00
Positions (direct):
1 O 0.745 0.259 0.000
2 O 0.255 0.259 0.000
3 O 0.745 0.741 0.000
4 O 0.820 0.000 0.639
5 O 0.180 0.000 0.361
6 O 0.669 0.500 0.338
7 O 0.255 0.741 0.000
8 O 0.331 0.500 0.662
9 Al 0.500 0.500 0.000
10 La 0.636 0.000 0.272
11 La 0.864 0.500 0.728
12 La 0.136 0.500 0.272
13 La 0.364 0.000 0.728
14 Li 0.000 0.000 0.000



This record from Alexandria via LeMat-Bulk describes Ag2TeI after structural relaxation. The functional is PBEsol.

Summary:
Raw total energy: -2.97 eV/atom
Raw formation energy: 0.006 eV per atom

abc: 6.383 6.383 7.658
angles: 114.63 114.63 90.00
Positions (direct):
1 I 0.250 0.750 0.500
2 I 0.000 0.000 0.000
3 Ag 0.625 0.607 0.750
4 Ag 0.393 0.875 0.250
5 Ag 0.125 0.143 0.750
6 Ag 0.857 0.375 0.250
7 Te 0.500 0.500 0.000
8 Te 0.750 0.250 0.500



This record from Alexandria via LeMat-Bulk describes CaLa2Ag2 after structural relaxation. The functional is PBEsol.

Summary:
Raw total energy: -3.92 eV/atom
Formation energy from the elements: -29 meV/atom

abc: 4.500 4.500 7.829
angles: 106.70 106.70 90.00
Positions (direct):
1 La 0.750 0.250 0.500
2 La 0.250 0.750 0.500
3 Ca 0.000 0.000 0.000
4 Ag 0.593 0.593 0.186
5 Ag 0.407 0.407 0.814



This record from Alexandria via LeMat-Bulk describes BaMg2FeSn after structural relaxation. The functional is PBEsol.

Summary:
Raw total energy: -3.32 eV/atom
Formation energy from the elements: 442 meV/atom

abc: 5.015 5.444 5.444
angles: 90.00 90.00 90.00
Site moments in Bohr magnetons follow the coordinates.
Positions (direct):
1 Mg 0.000 0.500 0.000  0.00
2 Mg 0.000 0.000 0.500  0.00
3 Ba 0.500 0.500 0.500  -0.06
4 Sn 0.000 0.000 0.000  -0.05
5 Fe 0.500 0.000 0.000  2.62



This record from Alexandria via LeMat-Bulk describes Zr2NiAg after structural relaxation. The functional is PBEsol.

Summary:
Raw total energy: -6.86 eV/atom
Formation energy from the elements: 57 meV/atom

abc: 3.050 3.050 9.114
angles: 80.37 80.37 60.00
Positions (direct):
1 Ag 0.500 0.500 0.500
2 Zr 0.742 0.742 0.775
3 Zr 0.258 0.258 0.225
4 Ni 0.000 0.000 0.000



This record from Alexandria via LeMat-Bulk describes MnTcMo2 after structural relaxation. The functional is PBEsol.

Summary:
Raw total energy: -10.87 eV/atom
Formation energy from the elements: 269 meV/atom

abc: 3.735 3.735 4.817
angles: 112.81 112.81 90.00
Site moments in Bohr magnetons follow the coordinates.
Positions (direct):
1 Mn 0.250 0.750 0.500  1.80
2 Tc 0.500 0.500 0.000  -0.04
3 Mo 0.000 0.000 0.000  -0.09
4 Mo 0.750 0.250 0.500  -0.15



This record from Alexandria via LeMat-Bulk describes ReIrAu after structural relaxation. The functional is PBEsol.

Summary:
Raw total energy: -8.15 eV/atom
Formation energy from the elements: 881 meV/atom

abc: 4.238 4.238 4.238
angles: 60.00 60.00 60.00
Positions (direct):
1 Re 0.750 0.750 0.750
2 Au 0.000 0.000 0.000
3 Ir 0.500 0.500 0.500



This record from Alexandria via LeMat-Bulk describes RbHg2Sb2 after structural relaxation. The functional is PBEsol.

Summary:
Raw total energy: -2.44 eV/atom
Raw formation energy: -0.186 eV per atom

abc: 4.886 4.886 7.131
angles: 110.04 110.04 90.00
Positions (direct):
1 Hg 0.390 0.390 0.781
2 Hg 0.610 0.610 0.219
3 Sb 0.250 0.750 0.500
4 Sb 0.750 0.250 0.500
5 Rb 0.000 0.000 0.000



This record from Alexandria via LeMat-Bulk describes LiMn2OF3 after structural relaxation. The functional is PBEsol.

Summary:
Raw total energy: -6.69 eV/atom
Raw formation energy: -2.046 eV per atom

abc: 6.150 6.150 8.760
angles: 90.00 90.00 90.00
Site moments in Bohr magnetons follow the coordinates.
Positions (direct):
1 F 0.769 0.490 0.494  0.09
2 F 0.019 0.239 0.744  0.07
3 F 0.231 0.510 0.994  0.09
4 F 0.000 0.764 0.762  0.08
5 F 0.761 0.019 0.494  0.07
6 F 0.000 0.236 0.262  0.08
7 F 0.981 0.761 0.244  0.07
8 F 0.236 0.000 0.512  0.08
9 F 0.239 0.981 0.994  0.07
10 F 0.764 0.000 0.012  0.08
11 F 0.490 0.231 0.744  0.09
12 F 0.510 0.769 0.244  0.09
13 Li 0.990 0.756 0.998  0.00
14 Li 0.756 0.010 0.248  0.00
15 Li 0.010 0.244 0.498  0.00
16 Li 0.244 0.990 0.748  0.00
17 Mn 0.722 0.757 0.634  4.46
18 Mn 0.511 0.754 0.985  4.48
19 Mn 0.754 0.489 0.235  4.48
20 Mn 0.489 0.246 0.485  4.48
21 Mn 0.246 0.511 0.735  4.48
22 Mn 0.278 0.243 0.134  4.46
23 Mn 0.757 0.278 0.884  4.46
24 Mn 0.243 0.722 0.384  4.46
25 O 0.464 0.753 0.758  0.17
26 O 0.536 0.247 0.258  0.17
27 O 0.753 0.536 0.008  0.17
28 O 0.247 0.464 0.508  0.17



This record from Alexandria via LeMat-Bulk describes KFeP after structural relaxation. The functional is PBEsol.

Summary:
Raw total energy: -5.26 eV/atom
Formation energy from the elements: 34 meV/atom

abc: 3.074 3.074 6.238
angles: 104.27 104.27 90.00
Site moments in Bohr magnetons follow the coordinates.
Positions (direct):
1 Fe 0.942 0.942 0.884  1.59
2 K 0.670 0.670 0.340  -0.01
3 P 0.388 0.388 0.775  -0.01



This record from Alexandria via LeMat-Bulk describes Pm2AlZn after structural relaxation. The functional is PBEsol.

Summary:
Raw total energy: -4.32 eV/atom
Formation energy from the elements: -332 meV/atom

abc: 5.136 5.136 5.136
angles: 60.00 60.00 60.00
Positions (direct):
1 Pm 0.750 0.750 0.750
2 Pm 0.250 0.250 0.250
3 Zn 0.500 0.500 0.500
4 Al 0.000 0.000 0.000



This record from Alexandria via LeMat-Bulk describes CoAgRu2O after structural relaxation. The functional is PBEsol.

Summary:
Raw total energy: -5.44 eV/atom
Raw formation energy: 1.890 eV per atom

abc: 4.288 4.288 4.663
angles: 90.00 90.00 90.00
Site moments in Bohr magnetons follow the coordinates.
Positions (direct):
1 Co 0.000 0.000 0.000  0.30
2 O 0.500 0.500 0.500  0.73
3 Ag 0.000 0.000 0.500  0.05
4 Ru 0.500 0.000 0.000  1.39
5 Ru 0.000 0.500 0.000  1.39



This record from Alexandria via LeMat-Bulk describes Cr5Se after structural relaxation. The functional is PBEsol.

Summary:
Raw total energy: -8.68 eV/atom
Raw formation energy: 0.493 eV per atom

abc: 4.698 4.698 4.698
angles: 60.00 60.00 60.00
Site moments in Bohr magnetons follow the coordinates.
Positions (direct):
1 Cr 0.625 0.124 0.625  -0.09
2 Cr 0.124 0.625 0.625  -0.09
3 Cr 0.625 0.625 0.124  -0.09
4 Cr 0.250 0.250 0.250  1.33
5 Cr 0.625 0.625 0.625  -0.09
6 Se 0.000 0.000 0.000  0.00



This record from Alexandria via LeMat-Bulk describes MoPt2W after structural relaxation. The functional is PBEsol.

Summary:
Raw total energy: -10.09 eV/atom
Formation energy from the elements: -215 meV/atom

abc: 2.707 4.783 4.917
angles: 98.48 90.00 106.44
Positions (direct):
1 Pt 0.755 0.509 0.262
2 Pt 0.996 0.991 0.987
3 Mo 0.248 0.496 0.766
4 W 0.501 0.003 0.484



This record from Alexandria via LeMat-Bulk describes ZnCdBi2 after structural relaxation. The functional is PBEsol.

Summary:
Raw total energy: -2.65 eV/atom
Formation energy from the elements: 186 meV/atom

abc: 5.190 5.190 5.190
angles: 60.00 60.00 60.00
Positions (direct):
1 Zn 0.000 0.000 0.000
2 Cd 0.500 0.500 0.500
3 Bi 0.750 0.750 0.750
4 Bi 0.250 0.250 0.250



This record from Alexandria via LeMat-Bulk describes YMn3Re after structural relaxation. The functional is PBEsol.

Summary:
Raw total energy: -7.49 eV/atom
Formation energy from the elements: 2394 meV/atom

abc: 4.497 4.497 4.497
angles: 90.00 90.00 90.00
Site moments in Bohr magnetons follow the coordinates.
Positions (direct):
1 Mn 0.000 0.500 0.000  3.18
2 Mn 0.500 0.000 0.000  3.18
3 Mn 0.000 0.000 0.500  3.18
4 Y 0.000 0.000 0.000  0.05
5 Re 0.500 0.500 0.500  -1.23



This record from Alexandria via LeMat-Bulk describes MnFe2Si after structural relaxation. The functional is PBEsol.

Summary:
Raw total energy: -8.70 eV/atom
Raw formation energy: -0.340 eV per atom

abc: 2.822 3.857 3.857
angles: 90.00 90.00 90.00
Site moments in Bohr magnetons follow the coordinates.
Positions (direct):
1 Mn 0.500 0.500 0.500  2.58
2 Fe 0.000 0.500 0.000  0.22
3 Fe 0.000 0.000 0.500  0.22
4 Si 0.500 0.000 0.000  -0.02



This record from Alexandria via LeMat-Bulk describes KHSe2 after structural relaxation. The functional is PBEsol.

Summary:
Raw total energy: -2.98 eV/atom

abc: 4.499 4.499 6.172
angles: 68.63 68.63 60.00
Positions (direct):
1 Se 0.182 0.182 0.455
2 Se 0.818 0.818 0.545
3 H 0.500 0.500 0.500
4 K 0.000 0.000 0.000



This record from Alexandria via LeMat-Bulk describes CdCo2As after structural relaxation. The functional is PBEsol.

Summary:
Raw total energy: -5.42 eV/atom
Formation energy from the elements: 28 meV/atom

abc: 2.835 2.836 6.569
angles: 90.00 90.01 90.00
Positions (direct):
1 Cd 0.500 0.500 0.500
2 Co 0.000 0.000 0.200
3 Co 0.000 0.000 0.800
4 As 0.500 0.500 0.000



This record from Alexandria via LeMat-Bulk describes SrY4Al after structural relaxation. The functional is PBEsol.

Summary:
Raw total energy: -5.22 eV/atom
Formation energy from the elements: 319 meV/atom

abc: 6.425 6.425 6.425
angles: 60.00 60.00 60.00
Positions (direct):
1 Al 0.750 0.750 0.750
2 Y 0.376 0.376 0.871
3 Y 0.871 0.376 0.376
4 Y 0.376 0.871 0.376
5 Y 0.376 0.376 0.376
6 Sr 0.000 0.000 0.000



This record from Alexandria via LeMat-Bulk describes B2PdW after structural relaxation. The functional is PBEsol.

Summary:
Raw total energy: -8.02 eV/atom
Formation energy from the elements: 432 meV/atom

abc: 5.727 5.727 4.918
angles: 125.61 125.61 90.00
Positions (direct):
1 Pd 0.500 0.500 0.000
2 Pd 0.750 0.250 0.500
3 W 0.000 0.000 0.000
4 W 0.250 0.750 0.500
5 B 0.125 0.135 0.750
6 B 0.865 0.375 0.250
7 B 0.625 0.615 0.750
8 B 0.385 0.875 0.250